1.
Entry from the Alexandria database: a geometry-optimized YPuAs structure (PBE-GGA).

a = 9.1858 Å, b = 9.1858 Å, c = 4.1530 Å
α = 90.00°, β = 90.00°, γ = 90.00°
Closest atoms and distances in Å follow each position.
Positions (direct):
Y 0.0221 0.7659 0.0000  3 As 2.84-2.88
Y 0.2341 0.0221 0.5000  3 As 2.84-2.88
Y 0.7659 0.9779 0.5000  3 As 2.84-2.88
Y 0.9779 0.2341 0.0000  3 As 2.84-2.88
Pu 0.3210 0.6050 0.5000  3 As 2.90-2.95
Pu 0.3950 0.3210 0.0000  3 As 2.90-2.95
Pu 0.6050 0.6790 0.0000  3 As 2.90-2.95
Pu 0.6790 0.3950 0.5000  3 As 2.90-2.95
As 0.1672 0.3287 0.5000  3 Y 2.84-2.88, 3 Pu 2.90-2.95
As 0.3287 0.8328 0.0000  3 Y 2.84-2.88, 3 Pu 2.90-2.95
As 0.6713 0.1672 0.0000  3 Y 2.84-2.88, 3 Pu 2.90-2.95
As 0.8328 0.6713 0.5000  3 Y 2.84-2.88, 3 Pu 2.90-2.95

Values from the calculation:
- theoretical density (kg/m3) = 7730
- calculated volume (Å³ per cell) = 350.4
- crystal system = tetragonal
- DFT formation energy (meV/atom) = -555
- DOS(E_F) (states/eV/atom) = 2.8303
- size of the total moment (μB/f.u.) = 6.331

***

2.
Entry from the Alexandria database: a geometry-optimized Sm4Se2SN structure (PBE-GGA).

a = 6.8686 Å, b = 3.9147 Å, c = 7.0826 Å
α = 90.00°, β = 108.44°, γ = 90.00°
Closest atoms and distances in Å follow each position.
Positions (direct):
Sm 0.2155 0.0000 0.2066  2 N 2.61, 1 S 2.79, 1 Se 2.91
Sm 0.2364 0.5000 0.7865  1 N 2.55, 2 S 2.77
Sm 0.7636 0.5000 0.2135  1 N 2.55, 2 S 2.77
Sm 0.7845 0.0000 0.7934  2 N 2.61, 1 S 2.79, 1 Se 2.91
Se 0.0000 0.0000 0.5000  6 Sm 2.91-2.92
Se 0.5000 0.5000 0.5000  6 Sm 3.07-3.12
S 0.5000 0.0000 0.0000  6 Sm 2.77-2.79
N 0.0000 0.5000 0.0000  6 Sm 2.55-2.61

Values from the calculation:
- theoretical density (kg/m3) = 7403
- calculated volume (Å³ per cell) = 180.7
- crystal system = monoclinic
- DOS(E_F) (states/eV/atom) = 0.3074
- size of the total moment (μB/f.u.) = 0.000
- energy relative to the elements, uncorrected (eV per atom) = -1.770

***

3.
Entry from the Alexandria database: a geometry-optimized SnGeO2 structure (PBE-GGA).

a = 5.9836 Å, b = 5.9836 Å, c = 5.9836 Å
α = 125.44°, β = 125.44°, γ = 80.80°
Closest atoms and distances in Å follow each position.
Positions (direct):
Sn 0.0000 0.0000 0.0000  4 O 2.78
Sn 0.7500 0.2500 0.5000  4 O 2.78
Ge 0.2500 0.7500 0.5000  4 O 1.88
Ge 0.5000 0.5000 0.0000  4 O 1.88
O 0.2650 0.6250 0.1400  2 Ge 1.88
O 0.3750 0.5150 0.6400  2 Ge 1.88
O 0.4850 0.1250 0.8600  2 Ge 1.88
O 0.8750 0.7350 0.3600  2 Ge 1.88

Values from the calculation:
- theoretical density (kg/m3) = 5411
- calculated volume (Å³ per cell) = 137.1
- crystal system = tetragonal
- offset from the most stable computed form (meV/atom) = 197
- DOS(E_F) (states/eV/atom) = 0.0001
- size of the total moment (μB/f.u.) = 0.000
- energy relative to the elements, uncorrected (eV per atom) = -0.735

***

4.
Entry from the Alexandria database: a geometry-optimized CaInSi2 structure (PBE-GGA).

a = 9.9407 Å, b = 9.9407 Å, c = 9.9407 Å
α = 153.02°, β = 153.02°, γ = 38.52°
Closest atoms and distances in Å follow each position.
Positions (direct):
Ca 0.0000 0.0000 0.0000  4 Si 3.10, 4 In 3.28
Ca 0.7500 0.2500 0.5000  4 Si 3.10, 4 In 3.28
In 0.2500 0.7500 0.5000  4 Si 2.70
In 0.5000 0.5000 0.0000  4 Si 2.70
Si 0.2332 0.6250 0.1082  2 Si 2.67, 2 In 2.70
Si 0.3750 0.4832 0.6082  2 Si 2.67, 2 In 2.70
Si 0.5168 0.1250 0.8918  2 Si 2.67, 2 In 2.70
Si 0.8750 0.7668 0.3918  2 Si 2.67, 2 In 2.70

Values from the calculation:
- theoretical density (kg/m3) = 3473
- calculated volume (Å³ per cell) = 201.8
- crystal system = tetragonal
- DOS(E_F) (states/eV/atom) = 0.2616
- size of the total moment (μB/f.u.) = 0.000
- energy relative to the elements, uncorrected (eV per atom) = 0.150